No. 1
# CuCl

CuCl after structural relaxation (PBE, Alexandria).

a = 10.2456 Å, b = 10.2456 Å, c = 3.6209 Å
α = 90.00°, β = 90.00°, γ = 90.00°
Closest atoms and distances in Å follow each position.
Space group I4/m (No. 87)
Asymmetric unit:
Cu  0.0946  0.5959  0.0000  3 Cl 2.27-2.34
Cl  0.0715  0.7393  0.5000  3 Cu 2.27-2.34

Values from the calculation:
- Total DFT energy (no corrections): -3.412 eV per atom
- Spin magnetization: 0.0 μB/cell

***

No. 2
# CuCl4

CuCl4 after structural relaxation (PBE, Alexandria).

a = 5.3453 Å, b = 5.3453 Å, c = 9.9913 Å
α = 90.00°, β = 90.00°, γ = 90.00°
Closest atoms and distances in Å follow each position.
Space group I-42m (No. 121)
Asymmetric unit:
Cu  0.0000  0.0000  0.0000  4 Cl 2.16
Cl  0.2348  0.2348  0.8761  1 Cu 2.16

Values from the calculation:
- Total DFT energy (no corrections): -2.279 eV per atom
- Spin magnetization: 6.0 μB/cell

***

No. 3
# Cu4Cl

Cu4Cl after structural relaxation (PBE, Alexandria).

a = 4.4213 Å, b = 4.4213 Å, c = 4.4213 Å
α = 90.00°, β = 90.00°, γ = 90.00°
Closest atoms and distances in Å follow each position.
Space group Pm-3m (No. 221)
Asymmetric unit:
Cu  0.0000  0.0000  0.0000  12 Cu 3.13
Cu  0.0000  0.5000  0.5000  2 Cl 2.21
Cl  0.5000  0.5000  0.5000  6 Cu 2.21

Values from the calculation:
- Total DFT energy (no corrections): -2.751 eV per atom
- Spin magnetization: 0.0 μB/cell

***

No. 4
# Cu3Cl2

Cu3Cl2 after structural relaxation (PBE, Alexandria).

a = 3.2871 Å, b = 3.2871 Å, c = 8.6445 Å
α = 90.00°, β = 90.00°, γ = 120.00°
Closest atoms and distances in Å follow each position.
Space group P-3m1 (No. 164)
Asymmetric unit:
Cu  0.0000  0.0000  0.0000  6 Cl 2.49
Cu  0.3333  0.6667  0.4060  3 Cu 2.50, 3 Cl 2.68
Cl  0.3333  0.6667  0.8130  6 Cu 2.49-2.68

Values from the calculation:
- Total DFT energy (no corrections): -3.197 eV per atom
- Spin magnetization: 0.0 μB/cell
- Energy relative to the lowest polymorph listed for this composition: 10 meV per atom

***

No. 5
# CuCl

CuCl after structural relaxation (PBE, Alexandria).

a = 3.6203 Å, b = 3.6203 Å, c = 8.8975 Å
α = 90.00°, β = 90.00°, γ = 120.00°
Closest atoms and distances in Å follow each position.
Space group R-3m (No. 166, hexagonal axes)
Asymmetric unit:
Cu  0.0000  0.0000  0.0000  6 Cl 2.56
Cl  0.0000  0.0000  0.5000  6 Cu 2.56

Values from the calculation:
- Total DFT energy (no corrections): -3.177 eV per atom
- Spin magnetization: 0.0 μB/cell

***

No. 6
# CuCl4

CuCl4 after structural relaxation (PBE, Alexandria).

a = 6.1154 Å, b = 10.6055 Å, c = 9.6571 Å
α = 90.00°, β = 91.26°, γ = 90.00°
Closest atoms and distances in Å follow each position.
Space group C2/m (No. 12)
Asymmetric unit:
Cu  0.0000  0.1668  0.0000  6 Cl 2.35-2.37
Cl  0.0663  0.5000  0.4064  1 Cl 2.00
Cl  0.1258  0.0000  0.8596  2 Cu 2.37
Cl  0.1762  0.3175  0.8624  2 Cu 2.35-2.37

Values from the calculation:
- Total DFT energy (no corrections): -2.513 eV per atom
- Spin magnetization: 8.0 μB/cell

***

No. 7
# Cu3Cl

Cu3Cl after structural relaxation (PBE, Alexandria).

a = 3.3561 Å, b = 3.4893 Å, c = 5.3230 Å
α = 90.00°, β = 90.00°, γ = 90.00°
Closest atoms and distances in Å follow each position.
Space group Pmm2 (No. 25)
Asymmetric unit:
Cu  0.0000  0.0000  0.0000  4 Cu 2.44-2.50
Cu  0.0000  0.5000  0.3208  6 Cu 2.43-2.44
Cu  0.5000  0.0000  0.3490  6 Cu 2.43-2.50, 2 Cl 2.68
Cl  0.5000  0.5000  0.7303  8 Cu 2.68-2.81

Values from the calculation:
- Total DFT energy (no corrections): -3.377 eV per atom
- Spin magnetization: 0.0 μB/cell
- Energy relative to the lowest polymorph listed for this composition: 140 meV per atom

***

No. 8
# CuCl

CuCl after structural relaxation (PBE, Alexandria).

a = 7.3229 Å, b = 7.3229 Å, c = 7.3229 Å
α = 90.00°, β = 90.00°, γ = 90.00°
Closest atoms and distances in Å follow each position.
Space group I-43m (No. 217)
Asymmetric unit:
Cu  0.1272  0.1272  0.8728  4 Cl 2.31-2.42
Cl  0.1906  0.1906  0.1906  4 Cu 2.31-2.42

Values from the calculation:
- Total DFT energy (no corrections): -3.312 eV per atom
- Spin magnetization: 0.0 μB/cell

***

No. 9
# CuCl

CuCl after structural relaxation (PBE, Alexandria).

a = 6.5748 Å, b = 6.5748 Å, c = 6.5748 Å
α = 90.00°, β = 90.00°, γ = 90.00°
Closest atoms and distances in Å follow each position.
Space group Pa-3 (No. 205)
Asymmetric unit:
Cu  0.1194  0.1194  0.1194  4 Cl 2.35-2.53
Cl  0.1581  0.6581  0.8419  4 Cu 2.35-2.53

Values from the calculation:
- Total DFT energy (no corrections): -3.311 eV per atom
- Spin magnetization: 0.0 μB/cell

***

No. 10
# Cu2Cl

Cu2Cl after structural relaxation (PBE, Alexandria).

a = 6.9779 Å, b = 3.8554 Å, c = 8.7697 Å
α = 90.00°, β = 107.57°, γ = 90.00°
Closest atoms and distances in Å follow each position.
Space group Cm (No. 8)
Asymmetric unit:
Cu  0.0000  0.0000  0.0000  1 Cl 2.35, 4 Cu 2.48-2.63
Cu  0.1043  0.0000  0.3138  2 Cl 2.41, 4 Cu 2.48-2.63
Cu  0.2333  0.5000  0.1917  6 Cu 2.34-2.50, 1 Cl 2.42
Cu  0.3798  0.0000  0.1233  6 Cu 2.34-2.54, 1 Cl 2.36
Cl  0.2215  0.0000  0.8441  2 Cu 2.35-2.36
Cl  0.2518  0.5000  0.4713  3 Cu 2.41-2.42

Values from the calculation:
- Total DFT energy (no corrections): -3.500 eV per atom
- Spin magnetization: 0.0 μB/cell
- Energy relative to the lowest polymorph listed for this composition: 68 meV per atom

***

No. 11
# Cu3Cl

Cu3Cl after structural relaxation (PBE, Alexandria).

a = 3.0579 Å, b = 3.0579 Å, c = 21.5974 Å
α = 90.00°, β = 90.00°, γ = 120.00°
Closest atoms and distances in Å follow each position.
Space group R-3m (No. 166, hexagonal axes)
Asymmetric unit:
Cu  0.0000  0.0000  0.0000  6 Cu 2.49
Cu  0.0000  0.0000  0.2520  3 Cu 2.49, 3 Cl 2.55
Cl  0.0000  0.0000  0.5000  6 Cu 2.55

Values from the calculation:
- Total DFT energy (no corrections): -3.363 eV per atom
- Spin magnetization: 0.0 μB/cell
- Energy relative to the lowest polymorph listed for this composition: 155 meV per atom

***

No. 12
# CuCl7

CuCl7 after structural relaxation (PBE, Alexandria).

a = 8.7282 Å, b = 8.7282 Å, c = 8.7282 Å
α = 90.00°, β = 90.00°, γ = 90.00°
Closest atoms and distances in Å follow each position.
Space group Fm-3m (No. 225)
Asymmetric unit:
Cu  0.0000  0.0000  0.0000  12 Cl 3.09
Cl  0.0000  0.0000  0.5000  12 Cl 3.09
Cl  0.0000  0.2500  0.2500  10 Cl 3.09, 2 Cu 3.09

Values from the calculation:
- Total DFT energy (no corrections): -1.379 eV per atom
- Spin magnetization: 10.7 μB/cell

***

No. 13
# CuCl4

CuCl4 after structural relaxation (PBE, Alexandria).

a = 7.1936 Å, b = 10.4698 Å, c = 8.0320 Å
α = 90.00°, β = 115.82°, γ = 90.00°
Closest atoms and distances in Å follow each position.
Space group C2/c (No. 15)
Asymmetric unit:
Cu  0.0000  0.1875  0.2500  4 Cl 2.22
Cl  0.2468  0.0602  0.2511  1 Cu 2.22
Cl  0.2494  0.3165  0.2581  1 Cu 2.22

Values from the calculation:
- Total DFT energy (no corrections): -2.471 eV per atom
- Spin magnetization: 0.0 μB/cell